Entry 1:
The following is a DFT calculation (GGA-PBE) of a relaxed structure of Ac9Co3Ni.

## Properties
Total energy, eV/atom: -4.95

Lattice parameters (Å, degrees): 7.080 10.989 11.807 90.00 96.05 90.00
Fractional coordinates of all 26 atoms:
Ac  0.104  0.250  0.195
Ac  0.152  0.572  0.377
Ac  0.152  0.928  0.377
Ac  0.221  0.250  0.867
Ac  0.258  0.566  0.041
Ac  0.258  0.934  0.041
Ac  0.362  0.250  0.534
Ac  0.362  0.577  0.713
Ac  0.362  0.923  0.713
Ac  0.638  0.077  0.287
Ac  0.638  0.423  0.287
Ac  0.638  0.750  0.466
Ac  0.742  0.066  0.959
Ac  0.742  0.434  0.959
Ac  0.779  0.750  0.133
Ac  0.848  0.072  0.623
Ac  0.848  0.428  0.623
Ac  0.896  0.750  0.805
Co  0.055  0.006  0.829
Co  0.055  0.494  0.829
Co  0.500  0.000  0.500
Co  0.500  0.500  0.500
Co  0.945  0.506  0.171
Co  0.945  0.994  0.171
Ni  0.474  0.250  0.086
Ni  0.526  0.750  0.914

Entry 2:
The following is a DFT calculation (GGA-PBE) of a relaxed structure of CsTlCdHg.

## Properties
Total energy, eV/atom: -1.11

Lattice parameters (Å, degrees): 5.920 5.920 5.920 60.00 60.00 60.00
Fractional coordinates of all 4 atoms:
Cs  0.000  0.000  0.000
Tl  0.500  0.500  0.500
Cd  0.750  0.750  0.750
Hg  0.250  0.250  0.250

Entry 3:
The following is a DFT calculation (GGA-PBE) of a relaxed structure of ZrScIr.

## Properties
Total energy, eV/atom: -8.48

Lattice parameters (Å, degrees): 5.410 4.371 5.932 90.00 109.86 90.00
Fractional coordinates of all 6 atoms:
Zr  0.083  0.250  0.315
Zr  0.917  0.750  0.685
Sc  0.486  0.750  0.167
Sc  0.514  0.250  0.833
Ir  0.350  0.750  0.575
Ir  0.650  0.250  0.425

Entry 4:
The following is a DFT calculation (GGA-PBE) of a relaxed structure of BeRe2Mo.

## Properties
Total energy, eV/atom: -9.78

Lattice parameters (Å, degrees): 3.092 3.092 5.747 90.00 90.00 90.00
Fractional coordinates of all 4 atoms:
Be  0.000  0.000  0.000
Re  0.000  0.000  0.513
Re  0.500  0.500  0.793
Mo  0.500  0.500  0.236